No. 1
{
  "formula": "SbSeBr2",
  "functional": "PBE",
  "state": "relaxed",
  "de_polymorph_ev_per_fu": 2.42,
  "spacegroup": "Pmmm, No. 47",
  "e_form_raw_ev_per_atom": 0.3563,
  "lattice_angstrom": [[3.398, 0.000, 0.000], [0.000, 4.388, 0.000], [0.000, 0.000, 6.690]],
  "species": ["Se", "Br", "Br", "Sb"],
  "fractional_positions": [[0.500, 0.500, 0.750], [0.000, 0.000, 0.489], [0.000, 0.000, 0.011], [0.500, 0.500, 0.250]]
}

No. 2
{
  "formula": "SbSe2Br",
  "functional": "PBE",
  "state": "relaxed",
  "de_polymorph_ev_per_fu": 2.18,
  "spacegroup": "Fm-3m, No. 225",
  "e_form_raw_ev_per_atom": 0.3155,
  "lattice_angstrom": [[0.000, 3.593, 3.593], [3.593, 0.000, 3.593], [3.593, 3.593, 0.000]],
  "species": ["Se", "Se", "Br", "Sb"],
  "fractional_positions": [[0.750, 0.750, 0.750], [0.250, 0.250, 0.250], [0.000, 0.000, 0.000], [0.500, 0.500, 0.500]]
}

No. 3
{
  "formula": "SbSeBr2",
  "functional": "PBE",
  "state": "relaxed",
  "de_polymorph_ev_per_fu": 2.20,
  "spacegroup": "R-3m, No. 166",
  "e_form_raw_ev_per_atom": 0.3017,
  "lattice_angstrom": [[8.563, -0.257, -0.153], [7.684, 3.788, -0.153], [7.684, 1.670, 3.403]],
  "species": ["Br", "Br", "Se", "Sb"],
  "fractional_positions": [[0.488, 0.488, 0.488], [0.012, 0.012, 0.012], [0.250, 0.250, 0.250], [0.750, 0.750, 0.750]]
}

No. 4
{
  "formula": "SbSe2Br",
  "functional": "PBE",
  "state": "relaxed",
  "de_polymorph_ev_per_fu": 0.54,
  "spacegroup": "R-3m, No. 166",
  "e_form_raw_ev_per_atom": -0.0947,
  "lattice_angstrom": [[2.421, 0.000, 8.435], [-1.211, 2.097, 8.435], [-1.211, -2.097, 8.435]],
  "species": ["Se", "Se", "Sb", "Br"],
  "fractional_positions": [[0.103, 0.103, 0.103], [0.897, 0.897, 0.897], [0.500, 0.500, 0.500], [0.000, 0.000, 0.000]]
}

No. 5
{
  "formula": "SbSe2Br",
  "functional": "PBE",
  "state": "relaxed",
  "de_polymorph_ev_per_fu": 2.07,
  "spacegroup": "P4/mmm, No. 123",
  "e_form_raw_ev_per_atom": 0.2878,
  "lattice_angstrom": [[5.563, 0.000, 0.000], [0.000, 4.153, 0.000], [0.000, 0.000, 4.153]],
  "species": ["Se", "Se", "Sb", "Br"],
  "fractional_positions": [[0.000, 0.500, 0.500], [0.000, 0.000, 0.000], [0.500, 0.000, 0.500], [0.500, 0.500, 0.000]]
}

No. 6
{
  "formula": "SbSe3Br",
  "functional": "PBE",
  "state": "relaxed",
  "de_polymorph_ev_per_fu": 1.21,
  "spacegroup": "Pm-3m, No. 221",
  "e_form_raw_ev_per_atom": 0.8115,
  "lattice_angstrom": [[-2.936, 4.075, -1.186], [-2.488, -0.484, 4.495], [3.438, 3.129, 2.240]],
  "species": ["Se", "Se", "Se", "Sb", "Br"],
  "fractional_positions": [[0.500, 0.000, 0.000], [0.000, 0.000, 0.500], [0.000, 0.500, 0.000], [0.500, 0.500, 0.500], [0.000, 0.000, 0.000]]
}

No. 7
{
  "formula": "SbSeBr2",
  "functional": "PBE",
  "state": "relaxed",
  "de_polymorph_ev_per_fu": 1.70,
  "spacegroup": "R-3m, No. 166",
  "e_form_raw_ev_per_atom": 0.1773,
  "lattice_angstrom": [[2.049, 0.000, 10.035], [-1.025, 1.774, 10.035], [-1.025, -1.774, 10.035]],
  "species": ["Sb", "Se", "Br", "Br"],
  "fractional_positions": [[0.500, 0.500, 0.500], [0.000, 0.000, 0.000], [0.086, 0.086, 0.086], [0.914, 0.914, 0.914]]
}

No. 8
{
  "formula": "SbSeBr2",
  "functional": "PBE",
  "state": "relaxed",
  "de_polymorph_ev_per_fu": 0.26,
  "spacegroup": "Cm, No. 8",
  "e_form_raw_ev_per_atom": -0.1842,
  "lattice_angstrom": [[-0.757, 2.399, 3.224], [2.206, -0.444, 3.414], [5.627, 5.709, -2.330]],
  "species": ["Br", "Br", "Sb", "Se"],
  "fractional_positions": [[0.992, 0.992, 0.023], [0.809, 0.809, 0.712], [0.516, 0.516, 0.478], [0.183, 0.183, 0.287]]
}

No. 9
{
  "formula": "Sb4Se5Br",
  "functional": "PBE",
  "state": "relaxed",
  "spacegroup": "Pmmn, No. 59",
  "e_form_raw_ev_per_atom": -0.1685,
  "lattice_angstrom": [[7.644, 0.000, 0.000], [0.000, 8.271, 0.000], [0.000, 0.000, 10.204]],
  "species": ["Sb", "Sb", "Sb", "Sb", "Sb", "Sb", "Sb", "Sb", "Se", "Se", "Se", "Se", "Se", "Se", "Se", "Se", "Se", "Se", "Br", "Br"],
  "fractional_positions": [[0.952, 0.500, 0.226], [0.538, 0.314, 0.500], [0.048, 0.000, 0.726], [0.538, 0.686, 0.500], [0.462, 0.186, 0.000], [0.048, 0.000, 0.274], [0.462, 0.814, 0.000], [0.952, 0.500, 0.774], [0.263, 0.755, 0.798], [0.263, 0.245, 0.798], [0.737, 0.745, 0.298], [0.737, 0.745, 0.702], [0.737, 0.255, 0.298], [0.230, 0.000, 0.500], [0.263, 0.755, 0.202], [0.737, 0.255, 0.702], [0.263, 0.245, 0.202], [0.770, 0.500, 0.000], [0.114, 0.500, 0.500], [0.886, 0.000, 0.000]]
}

No. 10
{
  "formula": "SbSe2Br",
  "functional": "PBE",
  "state": "relaxed",
  "de_polymorph_ev_per_fu": 0.79,
  "spacegroup": "R-3m, No. 166",
  "e_form_raw_ev_per_atom": -0.0318,
  "lattice_angstrom": [[8.090, -0.009, -0.006], [7.118, 3.843, -0.006], [7.118, 1.795, 3.399]],
  "species": ["Sb", "Se", "Se", "Br"],
  "fractional_positions": [[0.750, 0.750, 0.750], [0.013, 0.013, 0.013], [0.487, 0.487, 0.487], [0.250, 0.250, 0.250]]
}

No. 11
{
  "formula": "SbSeBr2",
  "functional": "PBE",
  "state": "relaxed",
  "de_polymorph_ev_per_fu": 1.65,
  "spacegroup": "F-43m, No. 216",
  "e_form_raw_ev_per_atom": 0.1639,
  "lattice_angstrom": [[5.169, 0.000, 0.000], [-0.001, 5.169, 0.000], [-2.584, -2.584, 3.655]],
  "species": ["Se", "Sb", "Br", "Br"],
  "fractional_positions": [[0.750, 0.250, 0.500], [0.500, 0.500, 0.000], [0.000, 0.000, 0.000], [0.250, 0.750, 0.500]]
}

No. 12
{
  "formula": "SbSeBr2",
  "functional": "PBE",
  "state": "relaxed",
  "de_polymorph_ev_per_fu": 2.22,
  "spacegroup": "R-3m, No. 166",
  "e_form_raw_ev_per_atom": 0.3069,
  "lattice_angstrom": [[-2.102, 9.033, 4.951], [1.175, 8.544, 6.013], [0.548, 10.076, 2.952]],
  "species": ["Br", "Br", "Se", "Sb"],
  "fractional_positions": [[0.913, 0.913, 0.913], [0.087, 0.087, 0.087], [0.500, 0.500, 0.500], [0.000, 0.000, 0.000]]
}